Crystalline LaSc2TlNi at its relaxed geometry, computed with PBE.

Unit cell a=5.0557 b=5.0557 c=5.1420 alpha=90.00 beta=90.00 gamma=90.00
Closest atoms and distances in Å follow each position.
Element x y z (fractional)
Sc 0.0000 0.5000 0.0000  2 Ni 2.53
Ni 0.0000 0.0000 0.0000  4 Sc 2.53, 2 La 2.57
La 0.0000 0.0000 0.5000  2 Ni 2.57
Sc 0.5000 0.0000 0.0000  2 Ni 2.53
Tl 0.5000 0.5000 0.5000  4 La 3.57, 8 Sc 3.61

Values from the calculation:
The formation energy comes out at -0.828 eV per formula unit. For the total energy, the calculation gives -26.57 eV per cell.

=====

Crystalline Ba6In2Ga at its relaxed geometry, computed with PBE.

Unit cell a=5.9735 b=11.5810 c=11.5926 alpha=90.00 beta=90.02 gamma=90.00
Closest atoms and distances in Å follow each position.
Element x y z (fractional)
Ba 0.0003 0.9717 0.7920  1 Ga 3.40, 3 In 3.75-3.76
Ba 0.9997 0.0283 0.2080  1 Ga 3.40, 3 In 3.75-3.76
Ba 0.4998 0.2078 0.9708  1 Ga 3.40, 3 In 3.76
Ba 0.5003 0.1126 0.6119  2 Ga 3.51, 1 Ba 3.68, 2 In 3.82
In 0.4994 0.2037 0.2953  8 Ba 3.75-3.82
Ga 0.5000 0.5000 0.0000  8 Ba 3.40-3.51
In 0.5006 0.7963 0.7047  8 Ba 3.75-3.82
Ba 0.4997 0.8874 0.3881  2 Ga 3.51, 1 Ba 3.68, 2 In 3.82
Ba 0.5003 0.5283 0.2920  1 Ga 3.40, 3 In 3.75-3.76
In 0.0006 0.7037 0.2047  8 Ba 3.75-3.82
Ba 0.9998 0.2922 0.4708  1 Ga 3.40, 3 In 3.76
Ga 0.0000 0.0000 0.5000  8 Ba 3.40-3.51
Ba 0.4997 0.4717 0.7080  1 Ga 3.40, 3 In 3.75-3.76
In 0.9994 0.2963 0.7953  8 Ba 3.75-3.82
Ba 0.0002 0.7078 0.5292  1 Ga 3.40, 3 In 3.76
Ba 0.5002 0.7922 0.0292  1 Ga 3.40, 3 In 3.76
Ba 0.9997 0.6126 0.8881  2 Ga 3.51, 1 Ba 3.68, 2 In 3.82
Ba 0.0003 0.3874 0.1119  2 Ga 3.51, 1 Ba 3.68, 2 In 3.82

Values from the calculation:
The formation energy comes out at -2.463 eV per formula unit. For the total energy, the calculation gives -45.01 eV per cell.

=====

Crystalline Be3AlGa at its relaxed geometry, computed with PBE.

Unit cell a=4.2505 b=4.2505 c=4.2505 alpha=90.00 beta=90.00 gamma=90.00
Closest atoms and distances in Å follow each position.
Element x y z (fractional)
Be 0.0000 0.0000 0.5000  2 Ga 2.13
Al 0.5000 0.5000 0.5000  12 Be 3.01
Be 0.5000 0.0000 0.0000  2 Ga 2.13
Ga 0.0000 0.0000 0.0000  6 Be 2.13
Be 0.0000 0.5000 0.0000  2 Ga 2.13

Values from the calculation:
The formation energy comes out at 4.407 eV per formula unit. The value obtained for the energy above the most stable polymorph in this dataset is 0 meV per atom. For the total energy, the calculation gives -13.54 eV per cell.

=====

Crystalline LiAc2SbRh6 at its relaxed geometry, computed with PBE.

Unit cell a=6.5668 b=6.5685 c=6.5667 alpha=60.03 beta=60.03 gamma=90.01
Closest atoms and distances in Å follow each position.
Element x y z (fractional)
Rh 0.2336 0.2336 0.9992  1 Li 2.17
Rh 0.2334 0.7669 0.9999  1 Li 2.17
Rh 0.7666 0.2331 0.0001  1 Li 2.17
Rh 0.7664 0.7665 0.4665  1 Li 2.17
Li 0.0000 0.0000 0.0000  6 Rh 2.17
Sb 0.5000 0.5000 0.0000  6 Rh 2.48
Rh 0.7664 0.7664 0.0008  1 Li 2.17
Ac 0.7504 0.2497 0.4999  12 Rh 3.29
Ac 0.2496 0.7503 0.5001  12 Rh 3.29
Rh 0.2336 0.2335 0.5335  1 Li 2.17

Values from the calculation:
For the total energy, the calculation gives -60.43 eV per cell. The formation energy without anion corrections is -199.8 kJ/mol of formula units.

=====

Crystalline ZnCuRu2 at its relaxed geometry, computed with PBE.

Unit cell a=2.6431 b=2.6431 c=8.8900 alpha=90.00 beta=90.00 gamma=117.07
Closest atoms and distances in Å follow each position.
Element x y z (fractional)
Ru 0.0000 0.0000 0.9989  2 Cu 2.61, 2 Zn 2.62, 6 Ru 2.64-2.76
Ru 0.0000 0.0000 0.5011  2 Cu 2.61, 2 Zn 2.62, 6 Ru 2.64-2.76
Cu 0.5000 0.5000 0.7500  4 Ru 2.61, 6 Cu 2.64-2.76
Zn 0.5000 0.5000 0.2500  4 Ru 2.62, 6 Zn 2.64-2.76

Values from the calculation:
The formation energy comes out at 1.128 eV per formula unit. For the total energy, the calculation gives -22.79 eV per cell.

=====

Crystalline La8Nd3Er2 at its relaxed geometry, computed with PBE.

Unit cell a=5.9343 b=7.7526 c=11.0248 alpha=110.59 beta=90.04 gamma=90.00
Closest atoms and distances in Å follow each position.
Element x y z (fractional)
La 0.4998 0.5974 0.7863  1 La 3.17, 1 Nd 3.18, 1 Er 3.51
La 0.9993 0.1356 0.2712  2 Nd 3.55, 2 Er 3.68-3.69, 7 La 3.79-3.96
Er 0.4988 0.2415 0.4830  8 La 3.42-3.69
La 0.0009 0.6758 0.3517  2 Er 3.42, 4 La 3.65-3.66
La 0.5002 0.4026 0.2137  1 La 3.17, 1 Nd 3.18, 1 Er 3.51
Nd 0.0000 0.2826 0.0000  3 Nd 3.37-3.69, 6 La 3.55-3.70
La 0.9991 0.3242 0.6483  2 Er 3.42, 4 La 3.65-3.66
Nd 0.5000 0.0000 0.0000  4 La 3.18
La 0.0007 0.8644 0.7288  2 Nd 3.55, 2 Er 3.68-3.69, 7 La 3.79-3.96
La 0.4998 0.1889 0.7863  1 La 3.17, 1 Nd 3.18, 1 Er 3.51
Er 0.5012 0.7585 0.5170  8 La 3.42-3.69
Nd 0.0000 0.7174 0.0000  3 Nd 3.37-3.69, 6 La 3.55-3.70
La 0.5002 0.8111 0.2137  1 La 3.17, 1 Nd 3.18, 1 Er 3.51

Values from the calculation:
The formation energy comes out at 2.368 eV per formula unit. The value obtained for the energy above the most stable polymorph in this dataset is 41 meV per atom. For the total energy, the calculation gives -60.48 eV per cell.